--- one ---
Below is SrTa2Cd2 after structural relaxation, with properties calculated at the GGA-PBE level.

```
data_SrTa2Cd2
_chemical_formula_sum 'Sr2 Ta4 Cd4'
_cell_length_a 4.616
_cell_length_b 4.616
_cell_length_c 12.206
_cell_angle_alpha 90.00
_cell_angle_beta 90.00
_cell_angle_gamma 90.00
_space_group_name_H-M_alt 'I 4/m m m'
_space_group_IT_number 139
_space_group_name_Hall '-I 4 2'
loop_
_atom_site_label
_atom_site_type_symbol
_atom_site_fract_x
_atom_site_fract_y
_atom_site_fract_z
_atom_site_occupancy
Sr1 Sr 0.000 0.000 0.000 1
Ta1 Ta 0.000 0.000 0.398 1
Cd1 Cd 0.000 0.500 0.250 1
```

V in Å³/atom: 26.012

***

--- two ---
Below is SrTa2Cd2 after structural relaxation, with properties calculated at the GGA-PBE level.

```
data_SrTa2Cd2
_chemical_formula_sum 'Sr2 Ta4 Cd4'
_cell_length_a 8.811
_cell_length_b 8.811
_cell_length_c 2.962
_cell_angle_alpha 90.00
_cell_angle_beta 90.00
_cell_angle_gamma 90.00
_space_group_name_H-M_alt 'P 4/m b m'
_space_group_IT_number 127
_space_group_name_Hall '-P 4 2ab'
loop_
_atom_site_label
_atom_site_type_symbol
_atom_site_fract_x
_atom_site_fract_y
_atom_site_fract_z
_atom_site_occupancy
Sr1 Sr 0.000 0.000 0.000 1
Ta1 Ta 0.107 0.393 0.000 1
Cd1 Cd 0.185 0.685 0.500 1
```

V in Å³/atom: 22.996

***

Stability, highest: two

***

--- one ---
Below is Sr2TbCd after structural relaxation, with properties calculated at the GGA-PBE level.

```
data_Sr2TbCd
_chemical_formula_sum 'Sr6 Tb3 Cd3'
_cell_length_a 3.8171
_cell_length_b 3.8171
_cell_length_c 37.3507
_cell_angle_alpha 90.00
_cell_angle_beta 90.00
_cell_angle_gamma 120.00
_space_group_name_H-M_alt 'R -3 m'
_space_group_IT_number 166
_space_group_name_Hall '-R 3 2"'
loop_
_atom_site_label
_atom_site_type_symbol
_atom_site_fract_x
_atom_site_fract_y
_atom_site_fract_z
_atom_site_occupancy
Sr1 Sr 0.0000 0.0000 0.0959 1
Tb1 Tb 0.0000 0.0000 0.0000 1
Cd1 Cd 0.0000 0.0000 0.5000 1
```

V in Å³/atom: 39.274

***

--- two ---
Below is Sr2TbCd after structural relaxation, with properties calculated at the GGA-PBE level.

```
data_Sr2TbCd
_chemical_formula_sum 'Sr2 Tb1 Cd1'
_cell_length_a 4.242
_cell_length_b 4.242
_cell_length_c 8.238
_cell_angle_alpha 90.00
_cell_angle_beta 90.00
_cell_angle_gamma 90.00
_space_group_name_H-M_alt 'P 4/m m m'
_space_group_IT_number 123
_space_group_name_Hall '-P 4 2'
loop_
_atom_site_label
_atom_site_type_symbol
_atom_site_fract_x
_atom_site_fract_y
_atom_site_fract_z
_atom_site_occupancy
Sr1 Sr 0.000 0.000 0.228 1
Tb1 Tb 0.500 0.500 0.500 1
Cd1 Cd 0.500 0.500 0.000 1
```

V in Å³/atom: 37.064

***

Stability, highest: two

***

--- one ---
Below is SrTbCd after structural relaxation, with properties calculated at the GGA-PBE level.

```
data_SrTbCd
_chemical_formula_sum 'Sr4 Tb4 Cd4'
_cell_length_a 3.863
_cell_length_b 3.863
_cell_length_c 28.066
_cell_angle_alpha 90.00
_cell_angle_beta 90.00
_cell_angle_gamma 90.00
_space_group_name_H-M_alt 'I 4/m m m'
_space_group_IT_number 139
_space_group_name_Hall '-I 4 2'
loop_
_atom_site_label
_atom_site_type_symbol
_atom_site_fract_x
_atom_site_fract_y
_atom_site_fract_z
_atom_site_occupancy
Sr1 Sr 0.000 0.000 0.071 1
Tb1 Tb 0.000 0.000 0.209 1
Cd1 Cd 0.000 0.000 0.352 1
```

V in Å³/atom: 34.898

***

--- two ---
Below is SrTbCd after structural relaxation, with properties calculated at the GGA-PBE level.

```
data_SrTbCd
_chemical_formula_sum 'Sr1 Tb1 Cd1'
_cell_length_a 5.4531
_cell_length_b 5.4531
_cell_length_c 4.0132
_cell_angle_alpha 90.00
_cell_angle_beta 90.00
_cell_angle_gamma 120.00
_space_group_name_H-M_alt 'P 3 m 1'
_space_group_IT_number 156
_space_group_name_Hall 'P 3 -2"'
loop_
_atom_site_label
_atom_site_type_symbol
_atom_site_fract_x
_atom_site_fract_y
_atom_site_fract_z
_atom_site_occupancy
Sr1 Sr 0.0000 0.0000 0.0000 1
Tb1 Tb 0.3333 0.6667 0.4781 1
Cd1 Cd 0.6667 0.3333 0.5734 1
```

V in Å³/atom: 34.451

***

--- three ---
Below is SrTbCd after structural relaxation, with properties calculated at the GGA-PBE level.

```
data_SrTbCd
_chemical_formula_sum 'Sr2 Tb2 Cd2'
_cell_length_a 3.871
_cell_length_b 3.871
_cell_length_c 13.638
_cell_angle_alpha 90.00
_cell_angle_beta 90.00
_cell_angle_gamma 90.00
_space_group_name_H-M_alt 'I 4 m m'
_space_group_IT_number 107
_space_group_name_Hall 'I 4 -2'
loop_
_atom_site_label
_atom_site_type_symbol
_atom_site_fract_x
_atom_site_fract_y
_atom_site_fract_z
_atom_site_occupancy
Sr1 Sr 0.000 0.000 0.000 1
Tb1 Tb 0.000 0.000 0.283 1
Cd1 Cd 0.000 0.000 0.665 1
```

V in Å³/atom: 34.052

***

Stability, highest: one

***

--- one ---
Below is SrTbCd4 after structural relaxation, with properties calculated at the GGA-PBE level.

```
data_SrTbCd4
_chemical_formula_sum 'Sr1 Tb1 Cd4'
_cell_length_a 3.578
_cell_length_b 5.068
_cell_length_c 8.825
_cell_angle_alpha 90.00
_cell_angle_beta 90.00
_cell_angle_gamma 90.00
_space_group_name_H-M_alt 'P m m m'
_space_group_IT_number 47
_space_group_name_Hall '-P 2 2'
loop_
_atom_site_label
_atom_site_type_symbol
_atom_site_fract_x
_atom_site_fract_y
_atom_site_fract_z
_atom_site_occupancy
Sr1 Sr 0.000 0.000 0.000 1
Tb1 Tb 0.000 0.500 0.500 1
Cd1 Cd 0.500 0.000 0.339 1
Cd2 Cd 0.500 0.500 0.174 1
```

V in Å³/atom: 26.672

***

--- two ---
Below is SrTbCd4 after structural relaxation, with properties calculated at the GGA-PBE level.

```
data_SrTbCd4
_chemical_formula_sum 'Sr4 Tb4 Cd16'
_cell_length_a 8.556
_cell_length_b 8.556
_cell_length_c 8.556
_cell_angle_alpha 90.00
_cell_angle_beta 90.00
_cell_angle_gamma 90.00
_space_group_name_H-M_alt 'F -4 3 m'
_space_group_IT_number 216
_space_group_name_Hall 'F -4 2 3'
loop_
_atom_site_label
_atom_site_type_symbol
_atom_site_fract_x
_atom_site_fract_y
_atom_site_fract_z
_atom_site_occupancy
Sr1 Sr 0.000 0.000 0.000 1
Tb1 Tb 0.250 0.250 0.750 1
Cd1 Cd 0.124 0.124 0.376 1
```

V in Å³/atom: 26.097

***

Stability, highest: one

***

--- one ---
Below is SrTbTlCd after structural relaxation, with properties calculated at the GGA-PBE level.

```
data_SrTbTlCd
_chemical_formula_sum 'Sr4 Tb4 Tl4 Cd4'
_cell_length_a 7.838
_cell_length_b 7.838
_cell_length_c 7.838
_cell_angle_alpha 90.00
_cell_angle_beta 90.00
_cell_angle_gamma 90.00
_space_group_name_H-M_alt 'F -4 3 m'
_space_group_IT_number 216
_space_group_name_Hall 'F -4 2 3'
loop_
_atom_site_label
_atom_site_type_symbol
_atom_site_fract_x
_atom_site_fract_y
_atom_site_fract_z
_atom_site_occupancy
Sr1 Sr 0.000 0.000 0.000 1
Tb1 Tb 0.000 0.000 0.500 1
Tl1 Tl 0.250 0.250 0.750 1
Cd1 Cd 0.250 0.250 0.250 1
```

V in Å³/atom: 30.101

***

--- two ---
Below is SrTbTlCd after structural relaxation, with properties calculated at the GGA-PBE level.

```
data_SrTbTlCd
_chemical_formula_sum 'Sr1 Tb1 Tl1 Cd1'
_cell_length_a 3.883
_cell_length_b 3.883
_cell_length_c 7.997
_cell_angle_alpha 90.00
_cell_angle_beta 90.00
_cell_angle_gamma 90.00
_space_group_name_H-M_alt 'P 4 m m'
_space_group_IT_number 99
_space_group_name_Hall 'P 4 -2'
loop_
_atom_site_label
_atom_site_type_symbol
_atom_site_fract_x
_atom_site_fract_y
_atom_site_fract_z
_atom_site_occupancy
Sr1 Sr 0.000 0.000 0.000 1
Tb1 Tb 0.000 0.000 0.509 1
Tl1 Tl 0.500 0.500 0.278 1
Cd1 Cd 0.500 0.500 0.725 1
```

V in Å³/atom: 30.149

***

Stability, highest: two